Record 1
VASP calculation (GGA-PBE) on a relaxed Lu2Ta4Zn3C3 crystal.

Cell: 5.5619 5.5619 14.2606 Å, 101.60 101.60 60.01°
Last column: nearest neighbours and their distance in Å.
Element x y z (fractional)
Lu  0.0393  0.8779  0.6126  3 C 2.43-2.45
Lu  0.1221  0.9607  0.8874  3 C 2.43-2.45
Lu  0.8779  0.0393  0.1126  3 C 2.43-2.45
Lu  0.9607  0.1221  0.3874  3 C 2.43-2.45
Ta  0.1932  0.3526  0.0812  3 C 2.14-2.19
Ta  0.2963  0.4831  0.4188  3 C 2.14-2.19
Ta  0.3526  0.1932  0.5812  3 C 2.14-2.19
Ta  0.4831  0.2963  0.9188  3 C 2.14-2.19
Ta  0.5169  0.7037  0.0812  3 C 2.14-2.19
Ta  0.6474  0.8068  0.4188  3 C 2.14-2.19
Ta  0.7037  0.5169  0.5812  3 C 2.14-2.19
Ta  0.8068  0.6474  0.9188  3 C 2.14-2.19
Zn  0.0865  0.3982  0.7515  4 Zn 2.78-2.79, 4 Ta 2.83-2.84
Zn  0.3982  0.0865  0.2515  4 Zn 2.78-2.79, 4 Ta 2.83-2.84
Zn  0.4297  0.5703  0.2500  4 Zn 2.78-2.79, 4 Ta 2.85
Zn  0.5703  0.4297  0.7500  4 Zn 2.78-2.79, 4 Ta 2.85
Zn  0.6018  0.9135  0.7485  4 Zn 2.78-2.79, 4 Ta 2.83-2.84
Zn  0.9135  0.6018  0.2485  4 Zn 2.78-2.79, 4 Ta 2.83-2.84
C  0.0000  0.5000  0.5000  4 Ta 2.15
C  0.1699  0.6600  0.0000  4 Ta 2.14-2.19
C  0.3400  0.8301  0.5000  4 Ta 2.14-2.19
C  0.5000  0.0000  0.0000  4 Ta 2.15
C  0.6600  0.1699  0.5000  4 Ta 2.14-2.19
C  0.8301  0.3400  0.0000  4 Ta 2.14-2.19

Record 2
VASP calculation (GGA-PBE) on a relaxed HoPAuO crystal.

## Properties
- Excess energy over the best structure of this formula in the dataset: 9.74 kcal/mol of atoms

Cell: 4.3453 6.0554 5.4451 Å, 90.00 90.00 90.00°
Last column: nearest neighbours and their distance in Å.
Element x y z (fractional)
Ho  0.0000  0.2436  0.0000  2 O 2.13-2.16
Ho  0.0000  0.7564  0.5000  2 O 2.13-2.16
P  0.5000  0.0334  0.7248  2 Au 2.56-2.61, 2 P 2.75
P  0.5000  0.9666  0.2248  2 Au 2.56-2.61, 2 P 2.75
Au  0.5000  0.3587  0.4251  2 O 2.28
Au  0.5000  0.6413  0.9251  2 O 2.28
O  0.0000  0.4381  0.3326  2 Ho 2.13-2.16, 2 Au 2.28
O  0.0000  0.5619  0.8326  2 Ho 2.13-2.16, 2 Au 2.28

Record 3
VASP calculation (GGA-PBE) on a relaxed InBiW4C2 crystal.

Cell: 3.1817 3.1817 14.3014 Å, 90.00 90.00 120.00°
Last column: nearest neighbours and their distance in Å.
Element x y z (fractional)
In  0.0000  0.0000  0.0000  6 W 2.98, 6 In 3.18
Bi  0.3333  0.6667  0.5000  6 Bi 3.18, 6 W 3.19
W  0.0000  0.0000  0.3179  3 C 2.12
W  0.0000  0.0000  0.6821  3 C 2.12
W  0.3333  0.6667  0.1641  3 C 2.16
W  0.3333  0.6667  0.8359  3 C 2.16
C  0.6667  0.3333  0.2437  6 W 2.12-2.16
C  0.6667  0.3333  0.7563  6 W 2.12-2.16

Number 1: volume 372 Å³ per cell, energy -7.83 eV per atom. Number 2: volume 143 Å³ per cell, energy -5.71 eV per atom. Number 3: volume 125 Å³ per cell, energy -9.23 eV per atom.